A plane-wave DFT calculation with PBE-GGA was carried out for crystalline MgTc2Mo at its relaxed geometry.

Results
Energy of formation from the pure elements, eV/f.u.: 2.8
Crystal system: tetragonal

Lattice parameters (Å, degrees): 7.1565 7.1565 5.7513 51.53 51.53 90.00
Fractional positions:
Tc (0.6642, 0.1250, 0.2500)
Mo (0.0000, 0.0000, 0.0000)
Mg (0.5000, 0.5000, 0.0000)
Mg (0.2500, 0.7500, 0.5000)
Tc (0.0858, 0.6250, 0.2500)
Tc (0.3750, 0.3358, 0.7500)
Mo (0.7500, 0.2500, 0.5000)
Tc (0.8750, 0.9142, 0.7500)

=====

A plane-wave DFT calculation with PBE-GGA was carried out for crystalline Cd2PtW at its relaxed geometry.

Results
Energy of formation from the pure elements, eV/f.u.: 1.3
ΔE to the lowest computed polymorph, eV per atom: 0.282
Crystal system: monoclinic

Lattice parameters (Å, degrees): 4.8459 2.8109 5.2264 85.30 90.00 90.00
Fractional positions:
W (0.5000, 0.7500, 0.7500)
Cd (0.0000, 0.0523, 0.0004)
Cd (0.0000, 0.4477, 0.4996)
Pt (0.5000, 0.2500, 0.2500)

=====

A plane-wave DFT calculation with PBE-GGA was carried out for crystalline Nd4TcI2Cl at its relaxed geometry.

Results
Energy relative to the elements, uncorrected, meV/atom: -769
Crystal system: monoclinic

Lattice parameters (Å, degrees): 4.1647 7.6359 8.2889 105.35 90.00 90.00
Fractional positions:
I (0.0000, 0.5000, 0.5000)
Cl (0.0000, 0.0000, 0.0000)
Nd (0.5000, 0.7363, 0.8071)
Nd (0.0000, 0.2939, 0.8083)
Tc (0.5000, 0.5000, 0.0000)
I (0.5000, 0.0000, 0.5000)
Nd (0.5000, 0.2637, 0.1929)
Nd (0.0000, 0.7061, 0.1917)

=====

A plane-wave DFT calculation with PBE-GGA was carried out for crystalline Ho2BiPb at its relaxed geometry.

Results
Energy of formation from the pure elements, eV/f.u.: -2.2
ΔE to the lowest computed polymorph, eV per atom: 0.099
Crystal system: orthorhombic

Lattice parameters (Å, degrees): 4.3081 8.2639 13.8547 90.00 90.00 90.00
Fractional positions:
Pb (0.2500, 0.0410, 0.4218)
Ho (0.7500, 0.8166, 0.9936)
Bi (0.7500, 0.0803, 0.1636)
Bi (0.7500, 0.5803, 0.3364)
Ho (0.2500, 0.8198, 0.2305)
Bi (0.2500, 0.9197, 0.8364)
Pb (0.7500, 0.4590, 0.9218)
Ho (0.7500, 0.3166, 0.5064)
Pb (0.7500, 0.9590, 0.5782)
Pb (0.2500, 0.5410, 0.0782)
Ho (0.2500, 0.1834, 0.0064)
Bi (0.2500, 0.4197, 0.6636)
Ho (0.2500, 0.3198, 0.2695)
Ho (0.7500, 0.1802, 0.7695)
Ho (0.2500, 0.6834, 0.4936)
Ho (0.7500, 0.6802, 0.7305)

=====

A plane-wave DFT calculation with PBE-GGA was carried out for crystalline TaTcIr3 at its relaxed geometry.

Results
Energy of formation from the pure elements, eV/f.u.: -1.5
ΔE to the lowest computed polymorph, eV per atom: 0.000
Crystal system: monoclinic

Lattice parameters (Å, degrees): 8.3333 2.7823 6.8249 90.00 73.81 90.00
Fractional positions:
Ir (0.0257, 0.4266, 0.9990)
Ir (0.7173, 0.9264, 0.0919)
Ta (0.8222, 0.4263, 0.3958)
Tc (0.4328, 0.4264, 0.2073)
Ir (0.6239, 0.4262, 0.8021)
Ir (0.1239, 0.9266, 0.3021)
Tc (0.9328, 0.9264, 0.7073)
Ta (0.3222, 0.9263, 0.8958)
Ir (0.5257, 0.9262, 0.4990)
Ir (0.2173, 0.4264, 0.5919)

=====

A plane-wave DFT calculation with PBE-GGA was carried out for crystalline IOF at its relaxed geometry.

Results
Energy relative to the elements, uncorrected, meV/atom: -494
ΔE to the lowest computed polymorph, eV per atom: 0.092
Crystal system: orthorhombic

Lattice parameters (Å, degrees): 4.0297 6.9667 9.0489 90.00 90.00 90.00
Fractional positions:
I (0.2500, 0.7502, 0.8645)
I (0.7500, 0.2502, 0.6355)
O (0.7500, 0.7498, 0.3637)
F (0.7500, 0.2496, 0.8857)
I (0.2500, 0.7498, 0.3645)
O (0.7500, 0.7502, 0.8637)
F (0.7500, 0.2504, 0.3857)
I (0.7500, 0.2498, 0.1355)
F (0.2500, 0.7496, 0.6143)
O (0.2500, 0.2502, 0.6363)
O (0.2500, 0.2498, 0.1363)
F (0.2500, 0.7504, 0.1143)

=====

no.,raw total energy (eV per atom),V (Å³/cell)
1,-7.580,140.0
2,-4.879,71.0
3,-5.067,254.2
4,-4.728,493.3
5,-10.061,152.0
6,-3.287,254.0